[1]
! TaTl2Pt, optimized geometry, DFT PBE-GGA; values from VASP
! * density of states at the Fermi level: 3.01 states/eV per cell
! * E_tot: -21.60 eV/cell
! * volume: 24.10 A^3/atom
! * magnetic moment: 0.00 μB/f.u.
! * ΔE to the lowest computed polymorph: 0.2178 eV/atom
&SYSTEM
  ibrav = 0, nat = 4, ntyp = 3
/
ATOMIC_SPECIES
Tl 204.38 Tl.upf
Ta 180.95 Ta.upf
Pt 195.08 Pt.upf
ATOMIC_POSITIONS crystal
Tl 0.9828 0.9828 0.0300
Tl 0.7614 0.7614 0.7089
Ta 0.2491 0.2491 0.3094
Pt 0.5066 0.5066 0.4517
CELL_PARAMETERS angstrom
-0.9743 -0.0177 -4.3358
0.8049 -2.2919 -3.7213
-6.2271 -4.6529 0.8101



[2]
! TaTl2Pt, optimized geometry, DFT PBE-GGA; values from VASP
! * density of states at the Fermi level: 3.00 states/eV per cell
! * E_tot: -20.21 eV/cell
! * volume: 20.27 A^3/atom
! * magnetic moment: 1.10 μB/f.u.
! * ΔE to the lowest computed polymorph: 0.5647 eV/atom
&SYSTEM
  ibrav = 0, nat = 4, ntyp = 3
/
ATOMIC_SPECIES
Tl 204.38 Tl.upf
Ta 180.95 Ta.upf
Pt 195.08 Pt.upf
ATOMIC_POSITIONS crystal
Tl 0.7500 0.7500 0.7500
Tl 0.2500 0.2500 0.2500
Ta 0.0000 0.0000 0.0000
Pt 0.5000 0.5000 0.5000
CELL_PARAMETERS angstrom
-3.8162 -2.4917 1.6835
-3.8932 -0.6832 -2.8253
-0.9805 -4.4223 -1.7571



[3]
! UTaPt, optimized geometry, DFT PBE-GGA; values from VASP
! * density of states at the Fermi level: 9.85 states/eV per cell
! * E_tot: -58.95 eV/cell
! * volume: 20.18 A^3/atom
! * magnetic moment: 0.00 μB/f.u.
&SYSTEM
  ibrav = 0, nat = 6, ntyp = 3
/
ATOMIC_SPECIES
Ta 180.95 Ta.upf
Pt 195.08 Pt.upf
U 238.03 U.upf
ATOMIC_POSITIONS crystal
Ta 0.7889 0.7889 0.6333
Ta 0.2111 0.2111 0.3667
Pt 0.9183 0.9183 0.2451
Pt 0.0817 0.0817 0.7549
U 0.3508 0.3508 0.9477
U 0.6492 0.6492 0.0523
CELL_PARAMETERS angstrom
-3.2849 -0.1434 -3.1476
0.9341 -1.4908 -4.1980
-2.3222 -6.8381 -0.5560



[4]
! UTaPt2, optimized geometry, DFT PBE-GGA; values from VASP
! * density of states at the Fermi level: 7.51 states/eV per cell
! * E_tot: -36.75 eV/cell
! * volume: 20.30 A^3/atom
! * magnetic moment: 2.35 μB/f.u.
&SYSTEM
  ibrav = 0, nat = 4, ntyp = 3
/
ATOMIC_SPECIES
U 238.03 U.upf
Pt 195.08 Pt.upf
Ta 180.95 Ta.upf
ATOMIC_POSITIONS crystal
U 0.5000 0.5000 0.5000
Pt 0.7193 0.7193 0.8422
Pt 0.2807 0.2807 0.1578
Ta 0.0000 0.0000 0.0000
CELL_PARAMETERS angstrom
4.4943 0.0000 0.0000
2.2471 3.8922 0.0000
2.2471 1.2974 4.6429



[5]
! TaV3Pt, optimized geometry, DFT PBE-GGA; values from VASP
! * density of states at the Fermi level: 6.92 states/eV per cell
! * E_tot: -37.98 eV/cell
! * volume: 18.88 A^3/atom
! * magnetic moment: 3.16 μB/f.u.
! * ΔE to the lowest computed polymorph: 0.2465 eV/atom
&SYSTEM
  ibrav = 0, nat = 5, ntyp = 3
/
ATOMIC_SPECIES
V 50.94 V.upf
Ta 180.95 Ta.upf
Pt 195.08 Pt.upf
ATOMIC_POSITIONS crystal
V 0.0000 0.0000 0.5000
V 0.0000 0.5000 0.0000
V 0.5000 0.0000 0.0000
Ta 0.0000 0.0000 0.0000
Pt 0.5000 0.5000 0.5000
CELL_PARAMETERS angstrom
-4.0413 -1.4816 -1.4856
1.7416 -4.1669 -0.5820
-1.1701 -1.0847 4.2648



[6]
! Ta3VPt, optimized geometry, DFT PBE-GGA; values from VASP
! * density of states at the Fermi level: 5.75 states/eV per cell
! * E_tot: -45.61 eV/cell
! * volume: 19.09 A^3/atom
! * magnetic moment: 0.00 μB/f.u.
! * ΔE to the lowest computed polymorph: 0.0000 eV/atom
&SYSTEM
  ibrav = 0, nat = 5, ntyp = 3
/
ATOMIC_SPECIES
Pt 195.08 Pt.upf
Ta 180.95 Ta.upf
V 50.94 V.upf
ATOMIC_POSITIONS crystal
Pt 0.5000 0.5000 0.5000
Ta 0.0000 0.0000 0.5000
Ta 0.0000 0.5000 0.0000
Ta 0.5000 0.0000 0.0000
V 0.0000 0.0000 0.0000
CELL_PARAMETERS angstrom
-1.4310 -4.0305 -1.6100
3.8897 -1.9430 1.4069
-1.9253 -0.9298 4.0390



[7]
! TaVPt2, optimized geometry, DFT PBE-GGA; values from VASP
! * density of states at the Fermi level: 6.62 states/eV per cell
! * E_tot: -70.47 eV/cell
! * volume: 15.70 A^3/atom
! * magnetic moment: 0.97 μB/f.u.
! * ΔE to the lowest computed polymorph: 0.0677 eV/atom
&SYSTEM
  ibrav = 0, nat = 8, ntyp = 3
/
ATOMIC_SPECIES
Ta 180.95 Ta.upf
V 50.94 V.upf
Pt 195.08 Pt.upf
ATOMIC_POSITIONS crystal
Ta 0.7500 0.8092 0.6908
Ta 0.2500 0.1908 0.3092
V 0.2500 0.7852 0.7148
V 0.7500 0.2148 0.2852
Pt 0.7046 0.2954 0.7954
Pt 0.7954 0.7046 0.2046
Pt 0.2954 0.7046 0.2046
Pt 0.2046 0.2954 0.7954
CELL_PARAMETERS angstrom
5.5039 0.0000 0.0000
2.7519 4.7526 -0.4860
2.7519 0.4584 4.7554



[8]
! Ta3VPt, optimized geometry, DFT PBE-GGA; values from VASP
! * density of states at the Fermi level: 7.04 states/eV per cell
! * E_tot: -43.78 eV/cell
! * volume: 23.16 A^3/atom
! * magnetic moment: 3.18 μB/f.u.
! * ΔE to the lowest computed polymorph: 0.3652 eV/atom
&SYSTEM
  ibrav = 0, nat = 5, ntyp = 3
/
ATOMIC_SPECIES
Ta 180.95 Ta.upf
Pt 195.08 Pt.upf
V 50.94 V.upf
ATOMIC_POSITIONS crystal
Ta 0.5000 0.0000 0.0000
Ta 0.0000 0.5000 0.0000
Ta 0.0000 0.0000 0.5000
Pt 0.0000 0.0000 0.0000
V 0.5000 0.5000 0.5000
CELL_PARAMETERS angstrom
-0.5364 -4.8260 -0.4217
3.2923 -0.6744 3.5302
-3.5538 0.1036 3.3341



[9]
! TaVPt, optimized geometry, DFT PBE-GGA; values from VASP
! * density of states at the Fermi level: 4.28 states/eV per cell
! * E_tot: -27.88 eV/cell
! * volume: 15.91 A^3/atom
! * magnetic moment: 0.28 μB/f.u.
! * ΔE to the lowest computed polymorph: 0.0000 eV/atom
&SYSTEM
  ibrav = 0, nat = 3, ntyp = 3
/
ATOMIC_SPECIES
V 50.94 V.upf
Pt 195.08 Pt.upf
Ta 180.95 Ta.upf
ATOMIC_POSITIONS crystal
V 0.6144 0.6144 0.2288
Pt 0.2798 0.2798 0.5597
Ta 0.9557 0.9557 0.9115
CELL_PARAMETERS angstrom
3.2610 0.0000 0.0000
0.0000 3.2610 0.0000
-1.6305 -1.6305 4.4891



[10]
! Ta6VPt, optimized geometry, DFT PBE-GGA; values from VASP
! * density of states at the Fermi level: 9.42 states/eV per cell
! * E_tot: -88.11 eV/cell
! * volume: 17.46 A^3/atom
! * magnetic moment: 0.00 μB/f.u.
&SYSTEM
  ibrav = 0, nat = 8, ntyp = 3
/
ATOMIC_SPECIES
Pt 195.08 Pt.upf
Ta 180.95 Ta.upf
V 50.94 V.upf
ATOMIC_POSITIONS crystal
Pt 0.0000 0.0000 0.0000
Ta 0.2515 0.0000 0.2487
Ta 0.4998 0.2515 0.2487
Ta 0.5002 0.7485 0.7513
Ta 0.0000 0.4998 0.2487
Ta 0.7485 0.0000 0.7513
Ta 0.0000 0.5002 0.7513
V 0.5000 0.5000 0.5000
CELL_PARAMETERS angstrom
-6.6476 2.2320 -2.1559
-5.2656 1.1755 4.9711
-3.0948 3.9901 1.1916



[11]
! TaV3Pt, optimized geometry, DFT PBE-GGA; values from VASP
! * density of states at the Fermi level: 8.68 states/eV per cell
! * E_tot: -39.22 eV/cell
! * volume: 19.36 A^3/atom
! * magnetic moment: 1.40 μB/f.u.
! * ΔE to the lowest computed polymorph: 0.0000 eV/atom
&SYSTEM
  ibrav = 0, nat = 5, ntyp = 3
/
ATOMIC_SPECIES
V 50.94 V.upf
Ta 180.95 Ta.upf
Pt 195.08 Pt.upf
ATOMIC_POSITIONS crystal
V 0.5000 0.0000 0.0000
V 0.0000 0.5000 0.0000
V 0.0000 0.0000 0.5000
Ta 0.5000 0.5000 0.5000
Pt 0.0000 0.0000 0.0000
CELL_PARAMETERS angstrom
-3.6899 -0.1813 2.7260
2.5592 -1.8330 3.3421
0.9563 4.2055 1.5742



[12]
! Ta2V2Pt, optimized geometry, DFT PBE-GGA; values from VASP
! * density of states at the Fermi level: 10.19 states/eV per cell
! * E_tot: -96.11 eV/cell
! * volume: 16.20 A^3/atom
! * magnetic moment: 0.00 μB/f.u.
&SYSTEM
  ibrav = 0, nat = 10, ntyp = 3
/
ATOMIC_SPECIES
Ta 180.95 Ta.upf
V 50.94 V.upf
Pt 195.08 Pt.upf
ATOMIC_POSITIONS crystal
Ta 0.3243 0.1757 0.5000
Ta 0.6757 0.8243 0.5000
Ta 0.1757 0.6757 0.5000
Ta 0.8243 0.3243 0.5000
V 0.1243 0.3757 0.0000
V 0.3757 0.8757 0.0000
V 0.8757 0.6243 0.0000
V 0.6243 0.1243 0.0000
Pt 0.0000 0.0000 0.0000
Pt 0.5000 0.5000 0.0000
CELL_PARAMETERS angstrom
-4.6125 4.6531 -0.2568
-1.7236 -2.0391 -5.9886
-2.4878 -2.3818 1.5271